The following is a GGA-PBE calculation of a geometry-optimized AcPm12Co6 structure, from Alexandria.

Values from the calculation:
Crystal system = cubic
Calculated volume = 27.12 Å³ per atom
Raw total energy = -5.5204 eV per atom
Symmetry = Im-3, No. 204
Energy relative to the elements = -0.06 eV per atom

```
AcPm12Co6
1.0
0.109 6.307 -6.060
3.557 -7.278 -3.302
-8.261 -1.613 2.382
Co Ac Pm
6 1 12
Direct
0.500 0.111 0.611
0.111 0.611 0.500
0.889 0.389 0.500
0.611 0.500 0.111
0.500 0.889 0.389
0.389 0.500 0.889
0.000 0.000 0.000
0.195 0.687 0.882
0.509 0.195 0.313
0.195 0.313 0.509
0.313 0.118 0.805
0.687 0.491 0.805
0.882 0.195 0.687
0.491 0.805 0.687
0.805 0.687 0.491
0.805 0.313 0.118
0.118 0.805 0.313
0.687 0.882 0.195
0.313 0.509 0.195
```